Entry 1:
# NpCrO4 GGA+U optimized geometry
data_NpCrO4
_chemical_formula_sum 'Np2 Cr2 O8'
_cell_length_a 6.685
_cell_length_b 6.728
_cell_length_c 3.368
_cell_angle_alpha 90.00
_cell_angle_beta 90.00
_cell_angle_gamma 90.00
_symmetry_space_group_name_H-M 'P 1'
_symmetry_Int_Tables_number 1
loop_
_symmetry_equiv_pos_as_xyz
'x,y,z'
loop_
_atom_site_label
_atom_site_type_symbol
_atom_site_fract_x
_atom_site_fract_y
_atom_site_fract_z
Np1 Np 0.000 0.000 0.000
Np2 Np 0.500 0.500 0.000
Cr1 Cr 0.000 0.500 0.500
Cr2 Cr 0.500 0.000 0.500
O1 O 0.000 0.201 0.500
O2 O 0.000 0.799 0.500
O3 O 0.188 0.500 0.000
O4 O 0.312 0.000 0.000
O5 O 0.500 0.299 0.500
O6 O 0.500 0.701 0.500
O7 O 0.688 0.000 0.000
O8 O 0.812 0.500 0.000
# Magnetic moment (μB per atom): 0.83

Entry 2:
# NpCr2OsO8 GGA+U optimized geometry
data_NpCr2OsO8
_chemical_formula_sum 'Np1 Cr2 Os1 O8'
_cell_length_a 4.748
_cell_length_b 4.748
_cell_length_c 6.158
_cell_angle_alpha 90.00
_cell_angle_beta 90.00
_cell_angle_gamma 91.80
_symmetry_space_group_name_H-M 'P 1'
_symmetry_Int_Tables_number 1
loop_
_symmetry_equiv_pos_as_xyz
'x,y,z'
loop_
_atom_site_label
_atom_site_type_symbol
_atom_site_fract_x
_atom_site_fract_y
_atom_site_fract_z
Np1 Np 0.000 0.000 0.000
Cr1 Cr 0.500 0.500 0.260
Cr2 Cr 0.500 0.500 0.740
Os1 Os 0.000 0.000 0.500
O1 O 0.204 0.796 0.261
O2 O 0.204 0.796 0.739
O3 O 0.299 0.299 0.500
O4 O 0.309 0.309 0.000
O5 O 0.691 0.691 0.000
O6 O 0.701 0.701 0.500
O7 O 0.796 0.204 0.261
O8 O 0.796 0.204 0.739
# Magnetic moment (μB per atom): 0.43

Entry 3:
# NpPaCrO6 GGA+U optimized geometry
data_NpPaCrO6
_chemical_formula_sum 'Np2 Pa2 Cr2 O12'
_cell_length_a 5.774
_cell_length_b 5.774
_cell_length_c 8.686
_cell_angle_alpha 90.00
_cell_angle_beta 90.00
_cell_angle_gamma 120.00
_symmetry_space_group_name_H-M 'P 1'
_symmetry_Int_Tables_number 1
loop_
_symmetry_equiv_pos_as_xyz
'x,y,z'
loop_
_atom_site_label
_atom_site_type_symbol
_atom_site_fract_x
_atom_site_fract_y
_atom_site_fract_z
Np1 Np 0.333 0.667 0.250
Np2 Np 0.667 0.333 0.750
Pa1 Pa 0.333 0.667 0.750
Pa2 Pa 0.667 0.333 0.250
Cr1 Cr 0.000 0.000 0.000
Cr2 Cr 0.000 0.000 0.500
O1 O 0.003 0.334 0.130
O2 O 0.003 0.670 0.370
O3 O 0.330 0.334 0.370
O4 O 0.330 0.997 0.130
O5 O 0.334 0.003 0.630
O6 O 0.334 0.330 0.870
O7 O 0.666 0.670 0.130
O8 O 0.666 0.997 0.370
O9 O 0.670 0.003 0.870
O10 O 0.670 0.666 0.630
O11 O 0.997 0.330 0.630
O12 O 0.997 0.666 0.870
# Magnetic moment (μB per atom): 0.67

Entry 4:
# NpCrPb2O8 GGA+U optimized geometry
data_NpCrPb2O8
_chemical_formula_sum 'Np1 Cr1 Pb2 O8'
_cell_length_a 5.079
_cell_length_b 6.589
_cell_length_c 5.081
_cell_angle_alpha 90.00
_cell_angle_beta 90.96
_cell_angle_gamma 90.00
_symmetry_space_group_name_H-M 'P 1'
_symmetry_Int_Tables_number 1
loop_
_symmetry_equiv_pos_as_xyz
'x,y,z'
loop_
_atom_site_label
_atom_site_type_symbol
_atom_site_fract_x
_atom_site_fract_y
_atom_site_fract_z
Np1 Np 0.000 0.000 0.000
Cr1 Cr 0.000 0.500 0.000
Pb1 Pb 0.500 0.260 0.500
Pb2 Pb 0.500 0.740 0.500
O1 O 0.176 0.248 0.823
O2 O 0.176 0.752 0.823
O3 O 0.286 0.500 0.285
O4 O 0.300 0.000 0.299
O5 O 0.700 0.000 0.701
O6 O 0.714 0.500 0.715
O7 O 0.824 0.248 0.177
O8 O 0.824 0.752 0.177
# Magnetic moment (μB per atom): 0.36

Entry 5:
# NpCrPb2O6 GGA+U optimized geometry
data_NpCrPb2O6
_chemical_formula_sum 'Np1 Cr1 Pb2 O6'
_cell_length_a 5.849
_cell_length_b 5.849
_cell_length_c 5.849
_cell_angle_alpha 60.00
_cell_angle_beta 60.00
_cell_angle_gamma 60.00
_symmetry_space_group_name_H-M 'P 1'
_symmetry_Int_Tables_number 1
loop_
_symmetry_equiv_pos_as_xyz
'x,y,z'
loop_
_atom_site_label
_atom_site_type_symbol
_atom_site_fract_x
_atom_site_fract_y
_atom_site_fract_z
Np1 Np 0.000 0.000 0.000
Cr1 Cr 0.500 0.500 0.500
Pb1 Pb 0.250 0.250 0.250
Pb2 Pb 0.750 0.750 0.750
O1 O 0.257 0.257 0.743
O2 O 0.257 0.743 0.257
O3 O 0.257 0.743 0.743
O4 O 0.743 0.257 0.257
O5 O 0.743 0.257 0.743
O6 O 0.743 0.743 0.257
# Magnetic moment (μB per atom): 0.50

Entry 6:
# NpCr2PbO8 GGA+U optimized geometry
data_NpCr2PbO8
_chemical_formula_sum 'Np1 Cr2 Pb1 O8'
_cell_length_a 5.052
_cell_length_b 5.052
_cell_length_c 7.282
_cell_angle_alpha 99.88
_cell_angle_beta 99.88
_cell_angle_gamma 77.43
_symmetry_space_group_name_H-M 'P 1'
_symmetry_Int_Tables_number 1
loop_
_symmetry_equiv_pos_as_xyz
'x,y,z'
loop_
_atom_site_label
_atom_site_type_symbol
_atom_site_fract_x
_atom_site_fract_y
_atom_site_fract_z
Np1 Np 0.000 0.000 0.000
Cr1 Cr 0.449 0.449 0.294
Cr2 Cr 0.551 0.551 0.706
Pb1 Pb 0.000 0.000 0.500
O1 O 0.233 0.762 0.778
O2 O 0.238 0.767 0.222
O3 O 0.247 0.247 0.073
O4 O 0.342 0.342 0.486
O5 O 0.658 0.658 0.514
O6 O 0.753 0.753 0.927
O7 O 0.762 0.233 0.778
O8 O 0.767 0.238 0.222
# Magnetic moment (μB per atom): 0.42

Ordered theoretical density results: 7738; 7890; 8158; 8121; 9383; 6344; unit kg/m3.
Ordered VASP energy results: -110.20; -102.25; -167.43; -87.60; -76.71; -93.42; unit eV per cell.